# SrMoF2 GGA+U optimized geometry
data_SrMoF2
_cell_length_a 6.372
_cell_length_b 6.372
_cell_length_c 6.372
_cell_angle_alpha 37.91
_cell_angle_beta 37.91
_cell_angle_gamma 37.91
_space_group_name_H-M_alt 'P 1'
_space_group_IT_number 1
loop_
_space_group_symop_operation_xyz
'x,y,z'
loop_
_atom_site_label
_atom_site_fract_x
_atom_site_fract_y
_atom_site_fract_z
Sr1 0.500 0.500 0.500
F1 0.877 0.877 0.877
Mo1 0.000 0.000 0.000
F2 0.123 0.123 0.123
# Volume = 87.7 Å³ per cell
# Space-group type = R-3m (166)
# Relative energy among the computed polymorphs = 0 meV/atom